1.
First-principles (PBE-GGA) data for a relaxed PuNbTe crystal, as listed in OQMD via LeMat-Bulk.

Values from the calculation:
spin magnetization	3.5	μB per formula unit
ΔE to the lowest computed polymorph	610	meV/atom
crystal system	cubic

abc: 6.724 6.724 6.724
angles: 90.00 90.00 90.00
Space group F-43m (No. 216)
Symmetry-distinct sites (fractional):
1 Pu 0.000 0.000 0.000
2 Nb 0.250 0.250 0.750
3 Te 0.250 0.250 0.250

2.
First-principles (PBE-GGA) data for a relaxed YAs2Os crystal, as listed in OQMD via LeMat-Bulk.

Values from the calculation:
spin magnetization	0.0	μB per formula unit
energy	-26.5	eV/f.u.
crystal system	cubic

abc: 6.699 6.699 6.699
angles: 90.00 90.00 90.00
Space group F-43m (No. 216)
Symmetry-distinct sites (fractional):
1 Y 0.000 0.000 0.000
2 As 0.000 0.000 0.500
3 As 0.250 0.250 0.250
4 Os 0.250 0.250 0.750

3.
First-principles (PBE-GGA) data for a relaxed GaHPd3 crystal, as listed in OQMD via LeMat-Bulk.

Values from the calculation:
ΔE to the lowest computed polymorph	8	meV/atom
crystal system	cubic

abc: 3.988 3.988 3.988
angles: 90.00 90.00 90.00
Space group Pm-3m (No. 221)
Symmetry-distinct sites (fractional):
1 Ga 0.000 0.000 0.000
2 H 0.500 0.500 0.500
3 Pd 0.000 0.500 0.500

4.
First-principles (PBE-GGA) data for a relaxed CuReGeW crystal, as listed in OQMD via LeMat-Bulk.

Values from the calculation:
spin magnetization	0.0	μB per formula unit
ΔE to the lowest computed polymorph	0	meV/atom
crystal system	cubic

abc: 6.161 6.161 6.161
angles: 90.00 90.00 90.00
Space group F-43m (No. 216)
Symmetry-distinct sites (fractional):
1 Cu 0.000 0.000 0.000
2 Re 0.000 0.000 0.500
3 Ge 0.250 0.250 0.750
4 W 0.250 0.250 0.250

5.
First-principles (PBE-GGA) data for a relaxed ErBe14 crystal, as listed in OQMD via LeMat-Bulk.

Values from the calculation:
spin magnetization	0.0	μB per formula unit
energy	-54.0	eV/f.u.
crystal system	trigonal

abc: 6.7386 6.7386 11.7340
angles: 90.00 90.00 120.00
Space group R-3m (No. 166, hexagonal axes)
Symmetry-distinct sites (fractional):
1 Er 0.0000 0.0000 0.0000
2 Be 0.0000 0.0000 0.2129
3 Be 0.0000 0.3414 0.5000
4 Be 0.1089 0.2179 0.6536

6.
First-principles (PBE-GGA) data for a relaxed NdAlB crystal, as listed in OQMD via LeMat-Bulk.

Values from the calculation:
spin magnetization	0.0	μB per formula unit
ΔE to the lowest computed polymorph	712	meV/atom
crystal system	cubic

abc: 6.189 6.189 6.189
angles: 90.00 90.00 90.00
Space group F-43m (No. 216)
Symmetry-distinct sites (fractional):
1 Nd 0.000 0.000 0.000
2 Al 0.250 0.250 0.750
3 B 0.000 0.000 0.500

7.
First-principles (PBE-GGA) data for a relaxed Zr2CoAs2Ir crystal, as listed in OQMD via LeMat-Bulk.

Values from the calculation:
spin magnetization	0.0	μB per formula unit
energy	-47.5	eV/f.u.
crystal system	monoclinic

abc: 7.376 4.243 14.095
angles: 90.00 99.76 90.00
Space group Pm (No. 6)
Symmetry-distinct sites (fractional):
1 Zr 0.000 0.000 0.000
2 Zr 0.007 0.500 0.492
3 Zr 0.235 0.000 0.736
4 Zr 0.246 0.500 0.241
5 Zr 0.482 0.000 0.483
6 Zr 0.499 0.500 0.000
7 Zr 0.743 0.000 0.236
8 Zr 0.756 0.500 0.738
9 Co 0.060 0.500 0.676
10 Co 0.061 0.000 0.182
11 Co 0.306 0.500 0.424
12 Co 0.558 0.500 0.181
13 As 0.121 0.500 0.861
14 As 0.125 0.000 0.362
15 As 0.363 0.500 0.611
16 As 0.372 0.000 0.123
17 As 0.612 0.500 0.361
18 As 0.621 0.000 0.865
19 As 0.875 0.500 0.123
20 As 0.877 0.000 0.615
21 Ir 0.309 0.000 0.929
22 Ir 0.557 0.000 0.675
23 Ir 0.808 0.000 0.426
24 Ir 0.810 0.500 0.931

8.
First-principles (PBE-GGA) data for a relaxed CsNaAsAu crystal, as listed in OQMD via LeMat-Bulk.

Values from the calculation:
ΔE to the lowest computed polymorph	0	meV/atom
crystal system	monoclinic

abc: 6.513 6.009 6.571
angles: 90.00 103.60 90.00
Space group P2_1/m (No. 11)
Symmetry-distinct sites (fractional):
1 Cs 0.042 0.250 0.183
2 Na 0.384 0.750 0.556
3 As 0.300 0.250 0.710
4 Au 0.500 0.000 0.000

9.
First-principles (PBE-GGA) data for a relaxed LiTlSbIr crystal, as listed in OQMD via LeMat-Bulk.

Values from the calculation:
spin magnetization	0.0	μB per formula unit
ΔE to the lowest computed polymorph	0	meV/atom
crystal system	cubic

abc: 6.691 6.691 6.691
angles: 90.00 90.00 90.00
Space group F-43m (No. 216)
Symmetry-distinct sites (fractional):
1 Li 0.000 0.000 0.000
2 Tl 0.250 0.250 0.250
3 Sb 0.250 0.250 0.750
4 Ir 0.000 0.000 0.500

10.
First-principles (PBE-GGA) data for a relaxed TbDy2Mg3Ir2Pd crystal, as listed in OQMD via LeMat-Bulk.

Values from the calculation:
spin magnetization	0.0	μB per formula unit
energy	-47.7	eV/f.u.
crystal system	orthorhombic

abc: 4.017 12.744 7.352
angles: 90.00 90.00 90.00
Space group Amm2 (No. 38)
Symmetry-distinct sites (fractional):
1 Tb 0.000 0.000 0.000
2 Dy 0.000 0.208 0.376
3 Mg 0.500 0.000 0.335
4 Mg 0.500 0.125 0.708
5 Ir 0.500 0.167 0.084
6 Pd 0.000 0.000 0.583

11.
First-principles (PBE-GGA) data for a relaxed MgScTcW crystal, as listed in OQMD via LeMat-Bulk.

Values from the calculation:
spin magnetization	0.0	μB per formula unit
ΔE to the lowest computed polymorph	14	meV/atom
crystal system	cubic

abc: 6.466 6.466 6.466
angles: 90.00 90.00 90.00
Space group F-43m (No. 216)
Symmetry-distinct sites (fractional):
1 Mg 0.000 0.000 0.000
2 Sc 0.250 0.250 0.250
3 Tc 0.000 0.000 0.500
4 W 0.250 0.250 0.750

12.
First-principles (PBE-GGA) data for a relaxed CdAs2C4SN4O2F12 crystal, as listed in OQMD via LeMat-Bulk.

Values from the calculation:
energy	-145.5	eV/f.u.
crystal system	orthorhombic

abc: 13.880 7.817 12.483
angles: 90.00 90.00 90.00
Space group Pnma (No. 62)
Symmetry-distinct sites (fractional):
1 Cd 0.192 0.250 0.083
2 As 0.082 0.250 0.841
3 As 0.127 0.250 0.417
4 C 0.039 0.750 0.832
5 C 0.121 0.750 0.773
6 C 0.203 0.663 0.133
7 S 0.088 0.750 0.416
8 N 0.032 0.250 0.120
9 N 0.190 0.750 0.720
10 N 0.201 0.516 0.128
11 O 0.112 0.750 0.305
12 O 0.170 0.750 0.489
13 F 0.004 0.250 0.385
14 F 0.028 0.750 0.090
15 F 0.047 0.086 0.755
16 F 0.108 0.091 0.516
17 F 0.124 0.089 0.934
18 F 0.147 0.090 0.320
19 F 0.198 0.250 0.786
20 F 0.247 0.750 0.945

13.
First-principles (PBE-GGA) data for a relaxed Dy6TeO12 crystal, as listed in OQMD via LeMat-Bulk.

Values from the calculation:
spin magnetization	0.0	μB per formula unit
energy	-149.8	eV/f.u.
crystal system	trigonal

abc: 9.7814 9.7814 9.3233
angles: 90.00 90.00 120.00
Space group R-3 (No. 148, hexagonal axes)
Symmetry-distinct sites (fractional):
1 Dy 0.0415 0.7880 0.1433
2 Te 0.0000 0.0000 0.5000
3 O 0.0325 0.8089 0.9010
4 O 0.0402 0.8537 0.3880

14.
First-principles (PBE-GGA) data for a relaxed ErTmBe2Ge2 crystal, as listed in OQMD via LeMat-Bulk.

Values from the calculation:
spin magnetization	0.0	μB per formula unit
energy	-29.7	eV/f.u.
crystal system	trigonal

abc: 3.8978 3.8978 7.9337
angles: 90.00 90.00 120.00
Space group P-3m1 (No. 164)
Symmetry-distinct sites (fractional):
1 Er 0.0000 0.0000 0.0000
2 Tm 0.0000 0.0000 0.5000
3 Be 0.3333 0.6667 0.2505
4 Ge 0.3333 0.6667 0.7492

15.
First-principles (PBE-GGA) data for a relaxed PmPrSe2S crystal, as listed in OQMD via LeMat-Bulk.

Values from the calculation:
spin magnetization	0.0	μB per formula unit
energy	-29.6	eV/f.u.
crystal system	trigonal

abc: 4.6449 4.6449 7.5052
angles: 90.00 90.00 120.00
Space group P3m1 (No. 156)
Symmetry-distinct sites (fractional):
1 Pm 0.0000 0.0000 0.0000
2 Pr 0.3333 0.6667 0.4483
3 Se 0.0000 0.0000 0.5894
4 Se 0.3333 0.6667 0.8726
5 S 0.6667 0.3333 0.2248

16.
First-principles (PBE-GGA) data for a relaxed BaThFe crystal, as listed in OQMD via LeMat-Bulk.

Values from the calculation:
spin magnetization	0.5	μB per formula unit
ΔE to the lowest computed polymorph	0	meV/atom
crystal system	cubic

abc: 7.038 7.038 7.038
angles: 90.00 90.00 90.00
Space group F-43m (No. 216)
Symmetry-distinct sites (fractional):
1 Ba 0.000 0.000 0.000
2 Th 0.000 0.000 0.500
3 Fe 0.250 0.250 0.750

17.
First-principles (PBE-GGA) data for a relaxed Nd2HoTl2Zn3Cd crystal, as listed in OQMD via LeMat-Bulk.

Values from the calculation:
spin magnetization	0.0	μB per formula unit
energy	-26.2	eV/f.u.
crystal system	orthorhombic

abc: 4.610 12.639 7.437
angles: 90.00 90.00 90.00
Space group Amm2 (No. 38)
Symmetry-distinct sites (fractional):
1 Nd 0.000 0.212 0.000
2 Ho 0.000 0.000 0.637
3 Tl 0.500 0.163 0.712
4 Zn 0.500 0.000 0.988
5 Zn 0.500 0.115 0.329
6 Cd 0.000 0.000 0.224

18.
First-principles (PBE-GGA) data for a relaxed Zr3Al3CoNiPd crystal, as listed in OQMD via LeMat-Bulk.

Values from the calculation:
spin magnetization	0.0	μB per formula unit
energy	-60.8	eV/f.u.
crystal system	hexagonal

abc: 7.0796 7.0796 3.4526
angles: 90.00 90.00 120.00
Space group P-6 (No. 174)
Symmetry-distinct sites (fractional):
1 Zr 0.0827 0.7291 0.0000
2 Al 0.4170 0.0862 0.5000
3 Co 0.3333 0.6667 0.5000
4 Ni 0.6667 0.3333 0.0000
5 Pd 0.0000 0.0000 0.5000

19.
First-principles (PBE-GGA) data for a relaxed TmAl2Pt2 crystal, as listed in OQMD via LeMat-Bulk.

Values from the calculation:
spin magnetization	0.0	μB per formula unit
energy	-29.7	eV/f.u.
crystal system	tetragonal

abc: 3.958 3.958 11.747
angles: 90.00 90.00 90.00
Space group I4/mmm (No. 139)
Symmetry-distinct sites (fractional):
1 Tm 0.000 0.000 0.000
2 Al 0.000 0.500 0.250
3 Pt 0.000 0.000 0.384